(1)
A relaxed Zr5PaN4 crystal. Source: Alexandria via LeMat-Bulk, functional PBE.

For the total energy, the calculation gives -9.919 eV per atom. Its raw formation energy is -1.365 eV/atom.

It has space group C2/m (No. 12), with a = 14.370 Å, b = 3.333 Å, c = 6.678 Å, α = 90.00°, β = 103.87° and γ = 90.00°. The distinct sites, in fractional coordinates, are Zr at (0.000, 0.000, 0.000), Zr at (0.169, 0.500, 0.346), Zr at (0.170, 0.500, 0.825), Pa at (0.000, 0.000, 0.500), N at (0.002, 0.500, 0.761) and N at (0.169, 0.000, 0.585).

=====

(2)
A relaxed ZrPa5N6 crystal. Source: Alexandria via LeMat-Bulk, functional PBE.

For the total energy, the calculation gives -10.479 eV per atom. Its raw formation energy is -1.647 eV/atom.

It has space group C2/m (No. 12), with a = 5.996 Å, b = 10.392 Å, c = 6.002 Å, α = 90.00°, β = 109.40° and γ = 90.00°. The distinct sites, in fractional coordinates, are Zr at (0.000, 0.000, 0.000), Pa at (0.000, 0.166, 0.500), Pa at (0.000, 0.333, 0.000), Pa at (0.000, 0.500, 0.500), N at (0.242, 0.162, 0.241) and N at (0.243, 0.000, 0.756).

=====

(3)
A relaxed ZrPa2N crystal. Source: Alexandria via LeMat-Bulk, functional PBE.

For the total energy, the calculation gives -9.548 eV per atom. Its raw formation energy is -0.582 eV/atom.

It has space group R-3m (No. 166, hexagonal axes), with a = 3.3233 Å, b = 3.3233 Å, c = 25.8661 Å, α = 90.00°, β = 90.00° and γ = 120.00°. The distinct sites, in fractional coordinates, are Zr at (0.0000, 0.0000, 0.0000), Pa at (0.0000, 0.0000, 0.2237) and N at (0.0000, 0.0000, 0.5000).

=====

(4)
A relaxed ZrPa3N crystal. Source: Alexandria via LeMat-Bulk, functional PBE.

For the total energy, the calculation gives -9.585 eV per atom. Its raw formation energy is -0.513 eV/atom.

It has space group Pm-3m (No. 221), with a = 4.784 Å, b = 4.784 Å, c = 4.784 Å, α = 90.00°, β = 90.00° and γ = 90.00°. The distinct sites, in fractional coordinates, are Zr at (0.000, 0.000, 0.000), Pa at (0.000, 0.500, 0.500) and N at (0.500, 0.500, 0.500).

=====

(5)
A relaxed Zr2Pa3N4 crystal. Source: Alexandria via LeMat-Bulk, functional PBE.

For the total energy, the calculation gives -10.208 eV per atom. Its raw formation energy is -1.443 eV/atom.

It has space group C2/m (No. 12), with a = 11.474 Å, b = 3.429 Å, c = 8.497 Å, α = 90.00°, β = 121.83° and γ = 90.00°. The distinct sites, in fractional coordinates, are Zr at (0.112, 0.000, 0.394), Pa at (0.000, 0.500, 0.000), Pa at (0.192, 0.500, 0.790), N at (0.096, 0.000, 0.892) and N at (0.205, 0.500, 0.308).

=====

(6)
A relaxed Zr5PaN6 crystal. Source: Alexandria via LeMat-Bulk, functional PBE.

For the total energy, the calculation gives -10.196 eV per atom. Its raw formation energy is -1.680 eV/atom.

It has space group C2/m (No. 12), with a = 5.739 Å, b = 9.936 Å, c = 5.717 Å, α = 90.00°, β = 109.21° and γ = 90.00°. The distinct sites, in fractional coordinates, are Zr at (0.000, 0.000, 0.000), Zr at (0.000, 0.168, 0.500), Zr at (0.000, 0.327, 0.000), Pa at (0.000, 0.500, 0.500), N at (0.249, 0.000, 0.752) and N at (0.249, 0.167, 0.247).

=====

(7)
A relaxed ZrPa2N3 crystal. Source: Alexandria via LeMat-Bulk, functional PBE.

For the total energy, the calculation gives -10.386 eV per atom. Its raw formation energy is -1.633 eV/atom.

It has space group I4/mmm (No. 139), with a = 3.441 Å, b = 3.441 Å, c = 14.519 Å, α = 90.00°, β = 90.00° and γ = 90.00°. The distinct sites, in fractional coordinates, are Zr at (0.000, 0.000, 0.000), Pa at (0.000, 0.000, 0.337), N at (0.000, 0.000, 0.162) and N at (0.000, 0.000, 0.500).

=====

(8)
A relaxed ZrPa2N4 crystal. Source: Alexandria via LeMat-Bulk, functional PBE.

For the total energy, the calculation gives -9.504 eV per atom. Its raw formation energy is -0.812 eV/atom. As for the relative energy among the computed polymorphs: 4.392 eV/f.u.

It has space group I4/mmm (No. 139), with a = 5.688 Å, b = 5.688 Å, c = 5.820 Å, α = 90.00°, β = 90.00° and γ = 90.00°. The distinct sites, in fractional coordinates, are Zr at (0.000, 0.000, 0.000), Pa at (0.000, 0.500, 0.000) and N at (0.250, 0.250, 0.250).

=====

(9)
A relaxed Zr2Pa5N12 crystal. Source: Alexandria via LeMat-Bulk, functional PBE.

For the total energy, the calculation gives -9.961 eV per atom. Its raw formation energy is -1.304 eV/atom.

It has space group C2/m (No. 12), with a = 12.645 Å, b = 6.103 Å, c = 7.422 Å, α = 90.00°, β = 106.77° and γ = 90.00°. The distinct sites, in fractional coordinates, are Zr at (0.000, 0.242, 0.000), Pa at (0.000, 0.000, 0.500), Pa at (0.193, 0.500, 0.355), Pa at (0.194, 0.500, 0.841), N at (0.003, 0.500, 0.795), N at (0.010, 0.000, 0.793), N at (0.158, 0.250, 0.571) and N at (0.178, 0.277, 0.097).

=====

(10)
A relaxed Zr2Pa2N3 crystal. Source: Alexandria via LeMat-Bulk, functional PBE.

For the total energy, the calculation gives -10.118 eV per atom. Its raw formation energy is -1.394 eV/atom.

It has space group C2/m (No. 12), with a = 11.501 Å, b = 3.413 Å, c = 5.843 Å, α = 90.00°, β = 103.57° and γ = 90.00°. The distinct sites, in fractional coordinates, are Zr at (0.139, 0.000, 0.363), Pa at (0.119, 0.500, 0.862), N at (0.000, 0.000, 0.000) and N at (0.248, 0.000, 0.747).

=====

(11)
A relaxed Zr3Pa2N8 crystal. Source: Alexandria via LeMat-Bulk, functional PBE.

For the total energy, the calculation gives -9.921 eV per atom. Its raw formation energy is -1.364 eV/atom.

It has space group P2/m (No. 10), with a = 6.102 Å, b = 3.531 Å, c = 8.640 Å, α = 90.00°, β = 105.66° and γ = 90.00°. The distinct sites, in fractional coordinates, are Zr at (0.000, 0.000, 0.000), Zr at (0.238, 0.500, 0.341), Pa at (0.303, 0.000, 0.727), N at (0.060, 0.000, 0.438), N at (0.120, 0.500, 0.860), N at (0.307, 0.000, 0.201) and N at (0.386, 0.500, 0.609).

=====

(12)
A relaxed ZrPa4N5 crystal. Source: Alexandria via LeMat-Bulk, functional PBE.

For the total energy, the calculation gives -10.459 eV per atom. Its raw formation energy is -1.644 eV/atom.

It has space group I4/m (No. 87), with a = 7.727 Å, b = 7.727 Å, c = 4.901 Å, α = 90.00°, β = 90.00° and γ = 90.00°. The distinct sites, in fractional coordinates, are Zr at (0.000, 0.000, 0.000), Pa at (0.101, 0.299, 0.500), N at (0.000, 0.000, 0.500) and N at (0.098, 0.292, 0.000).

=====

(13)
A relaxed PbN crystal. Source: Alexandria via LeMat-Bulk, functional PBE.

For the total energy, the calculation gives -5.090 eV per atom. Its raw formation energy is 0.927 eV/atom. As for the relative energy among the computed polymorphs: 0.267 eV/f.u.

It has space group I4/m (No. 87), with a = 10.177 Å, b = 10.177 Å, c = 3.723 Å, α = 90.00°, β = 90.00° and γ = 90.00°. The distinct sites, in fractional coordinates, are Pb at (0.110, 0.279, 0.000) and N at (0.120, 0.710, 0.000).

=====

(14)
A relaxed Pb4N crystal. Source: Alexandria via LeMat-Bulk, functional PBE.

For the total energy, the calculation gives -4.202 eV per atom. Its raw formation energy is 0.430 eV/atom.

It has space group Pm-3m (No. 221), with a = 5.109 Å, b = 5.109 Å, c = 5.109 Å, α = 90.00°, β = 90.00° and γ = 90.00°. The distinct sites, in fractional coordinates, are Pb at (0.000, 0.000, 0.000), Pb at (0.000, 0.500, 0.500) and N at (0.500, 0.500, 0.500).

=====

(15)
A relaxed PbN crystal. Source: Alexandria via LeMat-Bulk, functional PBE.

For the total energy, the calculation gives -5.157 eV per atom. Its raw formation energy is 0.860 eV/atom. As for the relative energy among the computed polymorphs: 0.134 eV/f.u.

It has space group C2/m (No. 12), with a = 6.841 Å, b = 3.946 Å, c = 6.487 Å, α = 90.00°, β = 110.49° and γ = 90.00°. The distinct sites, in fractional coordinates, are Pb at (0.089, 0.000, 0.267) and N at (0.219, 0.000, 0.657).

=====

(16)
A relaxed PbN crystal. Source: Alexandria via LeMat-Bulk, functional PBE.

For the total energy, the calculation gives -5.064 eV per atom. Its raw formation energy is 0.952 eV/atom. As for the relative energy among the computed polymorphs: 0.319 eV/f.u.

It has space group P6_3/m (No. 176), with a = 9.6135 Å, b = 9.6135 Å, c = 3.7361 Å, α = 90.00°, β = 90.00° and γ = 120.00°. The distinct sites, in fractional coordinates, are Pb at (0.0979, 0.6748, 0.2500) and N at (0.0682, 0.4056, 0.2500).

=====

(17)
A relaxed PbN crystal. Source: Alexandria via LeMat-Bulk, functional PBE.

For the total energy, the calculation gives -5.142 eV per atom. Its raw formation energy is 0.875 eV/atom. As for the relative energy among the computed polymorphs: 0.163 eV/f.u.

It has space group Pmn2_1 (No. 31), with a = 11.292 Å, b = 3.573 Å, c = 6.203 Å, α = 90.00°, β = 90.00° and γ = 90.00°. The distinct sites, in fractional coordinates, are Pb at (0.000, 0.007, 0.000), Pb at (0.181, 0.693, 0.585), N at (0.000, 0.544, 0.727) and N at (0.226, 0.810, 0.940).

=====

(18)
A relaxed PbN2 crystal. Source: Alexandria via LeMat-Bulk, functional PBE.

For the total energy, the calculation gives -6.598 eV per atom. Its raw formation energy is 0.188 eV/atom.

It has space group P1 (No. 1), with a = 3.298 Å, b = 3.357 Å, c = 10.095 Å, α = 98.56°, β = 90.47° and γ = 118.66°. The distinct sites, in fractional coordinates, are Pb at (0.000, 0.000, 0.000), N at (0.499, 0.962, 0.445) and N at (0.524, 0.052, 0.557).

=====

(19)
A relaxed PbN crystal. Source: Alexandria via LeMat-Bulk, functional PBE.

For the total energy, the calculation gives -5.168 eV per atom. Its raw formation energy is 0.849 eV/atom. As for the relative energy among the computed polymorphs: 0.111 eV/f.u.

It has space group P4_2/mnm (No. 136), with a = 6.784 Å, b = 6.784 Å, c = 3.760 Å, α = 90.00°, β = 90.00° and γ = 90.00°. The distinct sites, in fractional coordinates, are Pb at (0.176, 0.176, 0.000) and N at (0.177, 0.823, 0.000).

=====

(20)
A relaxed PbN crystal. Source: Alexandria via LeMat-Bulk, functional PBE.

For the total energy, the calculation gives -5.224 eV per atom. Its raw formation energy is 0.793 eV/atom. As for the relative energy among the computed polymorphs: 0.000 eV/f.u.

It has space group Pmmn (No. 59, origin choice 2), with a = 3.651 Å, b = 12.415 Å, c = 5.114 Å, α = 90.00°, β = 90.00° and γ = 90.00°. The distinct sites, in fractional coordinates, are Pb at (0.250, 0.071, 0.240), Pb at (0.250, 0.750, 0.254), N at (0.250, 0.250, 0.008) and N at (0.250, 0.602, 0.494).

=====

Number 1: spin magnetization 0.00 μB per atom, ρ 7.95 g/cm3. Number 2: spin magnetization 0.00 μB per atom, ρ 12.53 g/cm3. Number 3: spin magnetization 0.00 μB per atom, ρ 11.42 g/cm3. Number 4: spin magnetization 0.00 μB per atom, ρ 12.11 g/cm3. Number 5: spin magnetization 0.00 μB per atom, ρ 10.89 g/cm3. Number 6: spin magnetization 0.00 μB per atom, ρ 8.32 g/cm3. Number 7: spin magnetization 0.00 μB per atom, ρ 11.50 g/cm3. Number 8: spin magnetization 0.00 μB per atom, ρ 10.74 g/cm3. Number 9: spin magnetization 0.00 μB per atom, ρ 9.12 g/cm3. Number 10: spin magnetization 0.00 μB per atom, ρ 10.23 g/cm3. Number 11: spin magnetization 0.00 μB per atom, ρ 7.85 g/cm3. Number 12: spin magnetization 0.00 μB per atom, ρ 12.32 g/cm3. Number 13: spin magnetization 0.00 μB per atom, ρ 7.62 g/cm3. Number 14: spin magnetization 0.09 μB per atom, ρ 10.50 g/cm3. Number 15: spin magnetization 0.00 μB per atom, ρ 8.96 g/cm3. Number 16: spin magnetization 0.00 μB per atom, ρ 7.37 g/cm3. Number 17: spin magnetization 0.00 μB per atom, ρ 8.81 g/cm3. Number 18: spin magnetization 0.00 μB per atom, ρ 4.04 g/cm3. Number 19: spin magnetization 0.00 μB per atom, ρ 8.49 g/cm3. Number 20: spin magnetization 0.00 μB per atom, ρ 9.51 g/cm3.